1.
First-principles (PBE) data for a geometry-optimized Tl2Cu2O3 structure, as listed in Alexandria.

ΔE_f (raw): -0.566 eV/atom

Unit cell a=3.922 b=6.449 c=6.464 alpha=122.38 beta=90.00 gamma=107.70
Fractional positions:
O 0.325 0.650 0.652
Tl 0.588 0.175 0.854
O 0.000 0.000 0.000
Cu 0.836 0.673 0.675
Tl 0.412 0.825 0.146
Cu 0.164 0.327 0.325
O 0.675 0.350 0.348


2.
First-principles (PBE) data for a geometry-optimized Ba2BeMo structure, as listed in Alexandria.

Energy of formation: 1125.8 meV/atom

Unit cell a=3.907 b=3.918 c=9.075 alpha=64.42 beta=90.00 gamma=90.00
Fractional positions:
Ba 0.000 0.992 0.008
Be 0.500 0.250 0.250
Ba 0.000 0.508 0.492
Mo 0.500 0.750 0.750


3.
First-principles (PBE) data for a geometry-optimized BaSr2HPb structure, as listed in Alexandria.

Unit cell a=5.477 b=5.477 c=5.388 alpha=90.00 beta=90.00 gamma=90.00
Fractional positions:
Ba 0.000 0.000 0.500
H 0.000 0.000 0.000
Sr 0.000 0.500 0.000
Pb 0.500 0.500 0.500
Sr 0.500 0.000 0.000


4.
First-principles (PBE) data for a geometry-optimized Ho2Er7Tc2 structure, as listed in Alexandria.

Energy of formation: 77.2 meV/atom

Unit cell a=3.536 b=10.679 c=10.679 alpha=51.72 beta=80.47 gamma=80.47
Fractional positions:
Er 0.116 0.161 0.608
Er 0.861 0.019 0.258
Er 0.582 0.513 0.323
Er 0.418 0.677 0.487
Ho 0.245 0.337 0.173
Ho 0.755 0.827 0.663
Er 0.884 0.392 0.839
Tc 0.000 0.800 0.200
Er 0.500 0.042 0.958
Er 0.139 0.742 0.981
Tc 0.500 0.343 0.657


5.
First-principles (PBE) data for a geometry-optimized Cs2BiOs structure, as listed in Alexandria.

Energy of formation: 696.4 meV/atom

Unit cell a=9.804 b=9.804 c=9.804 alpha=94.02 beta=94.02 gamma=149.30
Fractional positions:
Bi 0.250 0.750 0.500
Cs 0.625 0.446 0.321
Os 0.500 0.500 0.000
Cs 0.696 0.375 0.821
Cs 0.125 0.304 0.679
Cs 0.554 0.875 0.179
Bi 0.000 0.000 0.000
Os 0.750 0.250 0.500


6.
First-principles (PBE) data for a geometry-optimized Co2IrPb structure, as listed in Alexandria.

Energy of formation: 442.2 meV/atom

Unit cell a=2.845 b=3.633 c=5.994 alpha=90.00 beta=90.00 gamma=90.00
Fractional positions:
Ir 0.500 0.500 0.250
Pb 0.500 0.500 0.750
Co 0.000 0.000 0.453
Co 0.000 0.000 0.047


7.
First-principles (PBE) data for a geometry-optimized TbPm6Cd5 structure, as listed in Alexandria.

Energy of formation: -224.7 meV/atom

Unit cell a=5.396 b=7.848 c=9.456 alpha=114.52 beta=106.58 gamma=90.00
Fractional positions:
Pm 0.171 0.427 0.342
Cd 0.655 0.155 0.310
Pm 0.171 0.914 0.342
Cd 0.669 0.669 0.338
Pm 0.829 0.086 0.658
Cd 0.345 0.845 0.690
Cd 0.331 0.331 0.662
Pm 0.829 0.573 0.658
Tb 0.000 0.000 0.000
Cd 0.000 0.500 0.000
Pm 0.500 0.268 0.000
Pm 0.500 0.732 0.000


8.
First-principles (PBE) data for a geometry-optimized NaFeCl6 structure, as listed in Alexandria.

Relative energy among the computed polymorphs: 0.000 eV per atom
ΔE_f (raw): -0.719 eV/atom

Unit cell a=6.325 b=6.332 c=6.806 alpha=62.36 beta=62.40 gamma=60.02
Fractional positions:
Cl 0.192 0.969 0.224
Cl 0.808 0.031 0.776
Cl 0.030 0.384 0.776
Cl 0.384 0.809 0.776
Cl 0.970 0.616 0.224
Fe 0.000 0.000 0.000
Cl 0.616 0.191 0.224
Na 0.500 0.500 0.500


9.
First-principles (PBE) data for a geometry-optimized Al2In2Rh structure, as listed in Alexandria.

Energy of formation: -42.7 meV/atom

Unit cell a=6.630 b=6.630 c=4.423 alpha=90.00 beta=90.00 gamma=90.00
Fractional positions:
Al 0.145 0.355 0.000
In 0.327 0.173 0.500
Al 0.855 0.645 0.000
Al 0.355 0.855 0.000
Rh 0.000 0.000 0.000
In 0.827 0.327 0.500
Al 0.645 0.145 0.000
In 0.673 0.827 0.500
Rh 0.500 0.500 0.000
In 0.173 0.673 0.500


10.
First-principles (PBE) data for a geometry-optimized ZrHg2Os structure, as listed in Alexandria.

Relative energy among the computed polymorphs: 0.000 eV per atom
Energy of formation: 83.2 meV/atom

Unit cell a=3.246 b=3.246 c=7.891 alpha=90.00 beta=90.00 gamma=90.00
Fractional positions:
Hg 0.500 0.500 0.279
Os 0.000 0.000 0.522
Zr 0.500 0.500 0.705
Hg 0.000 0.000 0.994


11.
First-principles (PBE) data for a geometry-optimized SrSbI3 structure, as listed in Alexandria.

Relative energy among the computed polymorphs: 0.000 eV per atom
ΔE_f (raw): -0.442 eV/atom

Unit cell a=6.370 b=6.370 c=6.370 alpha=90.00 beta=90.00 gamma=90.00
Fractional positions:
Sr 0.000 0.000 0.000
I 0.000 0.000 0.500
Sb 0.500 0.500 0.500
I 0.000 0.500 0.000
I 0.500 0.000 0.000


12.
First-principles (PBE) data for a geometry-optimized La6PmPrHo2 structure, as listed in Alexandria.

Energy of formation: 184.9 meV/atom

Unit cell a=8.977 b=7.259 c=6.738 alpha=122.59 beta=100.82 gamma=90.00
Fractional positions:
La 0.801 0.956 0.356
Pr 0.000 0.500 0.000
Pm 0.500 0.000 0.000
La 0.560 0.360 0.719
Ho 0.840 0.907 0.815
Ho 0.160 0.093 0.185
La 0.801 0.400 0.356
La 0.199 0.044 0.644
La 0.199 0.600 0.644
La 0.440 0.640 0.281


Taking the records one at a time from the top gives spin magnetization values of 0.0 3.1 0.0 0.0 2.0 3.0 0.0 3.1 0.0 0.0 2.0 0.0 Bohr magnetons per cell.
Taking the records one at a time from the top gives E_tot values of -4.537 -3.475 -2.853 -5.544 -3.508 -6.253 -3.367 -3.326 -4.105 -5.012 -2.533 -4.640 eV per atom.
Taking the records one at a time from the top gives V values of 18.40 31.32 32.32 28.28 58.00 15.49 28.83 24.93 19.45 20.79 51.69 36.06 Å³ per atom.